A relaxed structure of CrIr2Os, computed with PBE.

As for the magnetization: 0.05 μB/cell. The total energy comes out at -38.7 eV for the cell shown. The formation energy is -0.028 eV per atom.

The space group is P4mm (No. 99) and the conventional cell measures 2.706, 2.706 and 7.568 Å, with angles of 90.00, 90.00 and 90.00 degrees. Symmetry generates all atoms from Cr at (0.000, 0.000, 0.000), Ir at (0.000, 0.000, 0.503), Ir at (0.500, 0.500, 0.231) and Os at (0.500, 0.500, 0.754).

---

A relaxed structure of CrIr2Os, computed with PBE.

As for the magnetization: 0.57 μB/cell. The total energy comes out at -38.8 eV for the cell shown. The formation energy is -0.046 eV per atom.

The space group is P4/mmm (No. 123) and the conventional cell measures 2.701, 2.701 and 7.590 Å, with angles of 90.00, 90.00 and 90.00 degrees. Symmetry generates all atoms from Cr at (0.000, 0.000, 0.000), Ir at (0.500, 0.500, 0.242) and Os at (0.000, 0.000, 0.500).

---

A relaxed structure of Cr2IrOs, computed with PBE.

As for the magnetization: 4.17 μB/cell. The total energy comes out at -138.5 eV for the cell shown. The formation energy is 1.179 eV per atom.

The space group is I-42d (No. 122) and the conventional cell measures 5.477, 5.477 and 10.274 Å, with angles of 90.00, 90.00 and 90.00 degrees. Symmetry generates all atoms from Cr at (0.250, 0.250, 0.125), Ir at (0.000, 0.000, 0.000) and Os at (0.000, 0.000, 0.500).

---

A relaxed structure of CrIr2Os, computed with PBE.

As for the magnetization: 0.00 μB/cell. The total energy comes out at -39.2 eV for the cell shown. The formation energy is -0.167 eV per atom.

The space group is Pmm2 (No. 25) and the conventional cell measures 2.718, 4.294 and 4.728 Å, with angles of 90.00, 90.00 and 90.00 degrees. Symmetry generates all atoms from Cr at (0.000, 0.000, 0.000), Ir at (0.500, 0.000, 0.488), Ir at (0.500, 0.500, 0.831) and Os at (0.000, 0.500, 0.320).